Entry 1:
ZnAs2Os (PBE, relaxed); M_tot = 0.00 Bohr magnetons per cell; uncorrected energy = -20.04 eV per cell; density = 10.53 g/cm3; formation enthalpy at 0 K = 0.439 eV/atom
1.0
-3.654 2.511 -1.000
-1.564 -3.899 1.737
0.068 1.284 2.956
Os Zn As
1 1 2
direct
0.500 0.000 0.500
0.000 0.500 0.500
0.000 0.000 0.000
0.500 0.500 0.000

=====

Entry 2:
Zn2AsOs (PBE, relaxed); M_tot = 0.00 Bohr magnetons per cell; uncorrected energy = -17.69 eV per cell; density = 10.75 g/cm3; formation enthalpy at 0 K = 0.184 eV/atom
1.0
4.640 -0.004 -0.001
3.646 2.871 -0.001
0.631 0.218 4.587
Zn As Os
2 1 1
direct
0.010 0.010 0.006
0.255 0.255 0.220
0.480 0.480 0.546
0.755 0.755 0.728